## ZrTi2Co3 (PBE-GGA)

Data for a geometry-optimized ZrTi2Co3 structure.

Output
Total DFT energy (no corrections) ... -47.83 eV/f.u.
Offset from the most stable computed form ... 0.000 eV per atom
Calculated formation energy ... -0.363 eV per atom

Cell and atoms, written as CIF:
```
data_ZrTi2Co3
_space_group_name_H-M_alt 'P 4/m m m'
_space_group_IT_number 123
_space_group_name_Hall '-P 4 2'
_cell_length_a 2.9619
_cell_length_b 2.9619
_cell_length_c 9.6175
_cell_angle_alpha 90.00
_cell_angle_beta 90.00
_cell_angle_gamma 90.00
loop_
_atom_site_label
_atom_site_type_symbol
_atom_site_fract_x
_atom_site_fract_y
_atom_site_fract_z
_atom_site_occupancy
Zr1 Zr 0.0000 0.0000 0.0000 1
Ti1 Ti 0.0000 0.0000 0.3417 1
Co1 Co 0.5000 0.5000 0.2044 1
Co2 Co 0.5000 0.5000 0.5000 1
```

=====

## Pm4SmEr (PBE-GGA)

Data for a geometry-optimized Pm4SmEr structure.

Output
Total DFT energy (no corrections) ... -27.62 eV/f.u.
Offset from the most stable computed form ... 0.048 eV per atom
Calculated formation energy ... 0.110 eV per atom

Cell and atoms, written as CIF:
```
data_Pm4SmEr
_space_group_name_H-M_alt 'C 1 2/m 1'
_space_group_IT_number 12
_cell_length_a 11.1253
_cell_length_b 6.0165
_cell_length_c 6.0331
_cell_angle_alpha 90.00
_cell_angle_beta 90.22
_cell_angle_gamma 90.00
loop_
_space_group_symop_operation_xyz
'x,y,z'
'-x,-y,-z'
'-x,y,-z'
'x,-y,z'
'x+1/2,y+1/2,z'
'-x+1/2,-y+1/2,-z'
'-x+1/2,y+1/2,-z'
'x+1/2,-y+1/2,z'
loop_
_atom_site_label
_atom_site_type_symbol
_atom_site_fract_x
_atom_site_fract_y
_atom_site_fract_z
_atom_site_occupancy
Pm1 Pm 0.1632 0.0000 0.0177 1
Pm2 Pm 0.1640 0.5000 0.4838 1
Sm1 Sm 0.0000 0.5000 0.0000 1
Er1 Er 0.0000 0.0000 0.5000 1
```

=====

## Sr2HgGe (PBE-GGA)

Data for a geometry-optimized Sr2HgGe structure.

Output
Total DFT energy (no corrections) ... -10.56 eV/f.u.
Calculated formation energy ... -0.569 eV per atom

Cell and atoms, written as CIF:
```
data_Sr2HgGe
_space_group_name_H-M_alt 'F m -3 m'
_space_group_IT_number 225
_space_group_name_Hall '-F 4 2 3'
_cell_length_a 7.8643
_cell_length_b 7.8643
_cell_length_c 7.8643
_cell_angle_alpha 90.00
_cell_angle_beta 90.00
_cell_angle_gamma 90.00
loop_
_atom_site_label
_atom_site_type_symbol
_atom_site_fract_x
_atom_site_fract_y
_atom_site_fract_z
_atom_site_occupancy
Sr1 Sr 0.2500 0.2500 0.2500 1
Hg1 Hg 0.0000 0.0000 0.0000 1
Ge1 Ge 0.0000 0.0000 0.5000 1
```